Entry 1:
A plane-wave DFT calculation with PBE was carried out for Hf6Ir5Ru after structural relaxation.

a b c (Å): 4.6256 6.5747 7.1008
angles (deg): 90.00 103.43 90.00
With the nearest neighbours (Å) after each atom.
Positions (direct):
Ru1 0.0000 0.0000 0.0000  8 Hf 2.83, 2 Ir 3.12
Ir1 0.6598 0.5000 0.3324  8 Hf 2.83-2.86, 2 Ir 3.08-3.13
Ir2 0.3525 0.0000 0.6749  8 Hf 2.78-2.89, 1 Ir 3.10
Ir3 0.0000 0.5000 0.0000  8 Hf 2.84, 2 Ir 3.13
Ir4 0.6475 0.0000 0.3251  8 Hf 2.78-2.89, 1 Ir 3.10
Ir5 0.3402 0.5000 0.6676  8 Hf 2.83-2.86, 2 Ir 3.08-3.13
Hf1 0.8415 0.7520 0.6666  7 Ir 2.80-2.89, 1 Ru 2.83, 1 Hf 3.06
Hf2 0.8414 0.2480 0.6666  7 Ir 2.80-2.89, 1 Ru 2.83, 1 Hf 3.06
Hf3 0.5000 0.2492 0.0000  6 Ir 2.78-2.84, 2 Ru 2.83
Hf4 0.5000 0.7508 0.0000  6 Ir 2.78-2.84, 2 Ru 2.83
Hf5 0.1586 0.7520 0.3334  7 Ir 2.80-2.89, 1 Ru 2.83, 1 Hf 3.06
Hf6 0.1585 0.2480 0.3334  7 Ir 2.80-2.89, 1 Ru 2.83, 1 Hf 3.06

**E_form**: -0.8905 eV per atom

=====

Entry 2:
A plane-wave DFT calculation with PBE was carried out for TmGa2BO6 after structural relaxation.

a b c (Å): 5.8970 6.7124 6.7124
angles (deg): 78.07 69.13 69.13
With the nearest neighbours (Å) after each atom.
Positions (direct):
Tm1 0.2500 0.8256 0.1744  8 O 2.23-2.48
Tm2 0.7500 0.1744 0.8256  8 O 2.23-2.48
Ga1 0.3531 0.7651 0.6312  4 O 1.84-1.88
Ga2 0.1469 0.3688 0.2349  4 O 1.84-1.88
Ga3 0.6469 0.2349 0.3688  4 O 1.84-1.88
Ga4 0.8531 0.6312 0.7651  4 O 1.84-1.88
B1 0.2500 0.1763 0.8237  4 O 1.45-1.51
B2 0.7500 0.8237 0.1763  4 O 1.45-1.51
O1 0.1930 0.9726 0.8282  1 B 1.51
O2 0.3070 0.1718 0.0274  1 B 1.51
O3 0.8070 0.0274 0.1718  1 B 1.51
O4 0.6930 0.8282 0.9726  1 B 1.51
O5 0.5145 0.8215 0.3457  1 B 1.45
O6 0.9855 0.6543 0.1785  1 B 1.45
O7 0.4855 0.1785 0.6543  1 B 1.45
O8 0.0145 0.3457 0.8215  1 B 1.45
O9 0.0737 0.7613 0.5590  2 Ga 1.84-1.88
O10 0.4263 0.4410 0.2387  2 Ga 1.84-1.88
O11 0.9263 0.2387 0.4410  2 Ga 1.84-1.88
O12 0.5737 0.5590 0.7613  2 Ga 1.84-1.88

**Formation energy (no corrections)**: -2.42 eV per atom

=====

Entry 3:
A plane-wave DFT calculation with PBE was carried out for Cs2BiCl4 after structural relaxation.

a b c (Å): 5.8067 5.8067 9.4578
angles (deg): 107.88 107.88 90.00
With the nearest neighbours (Å) after each atom.
Positions (direct):
Cs1 0.6356 0.6356 0.2713  5 Cl 3.44-3.71
Cs2 0.3644 0.3644 0.7287  5 Cl 3.44-3.71
Bi1 0.0000 0.0000 0.0000  6 Cl 2.77-2.90
Cl1 0.8374 0.8374 0.6748  1 Bi 2.77
Cl2 0.1626 0.1626 0.3252  1 Bi 2.77
Cl3 0.0000 0.5000 0.0000  2 Bi 2.90
Cl4 0.5000 0.0000 0.0000  2 Bi 2.90

**Formation energy (no corrections)**: -1.43 eV per atom

=====

Entry 4:
A plane-wave DFT calculation with PBE was carried out for YFe5Si3 after structural relaxation.

a b c (Å): 3.8761 6.3804 10.5034
angles (deg): 90.00 90.00 107.68
With the nearest neighbours (Å) after each atom.
Positions (direct):
Y1 0.8043 0.6087 0.7500  6 Si 2.98-3.19, 6 Fe 3.15-3.22
Y2 0.1957 0.3913 0.2500  6 Si 2.98-3.19, 6 Fe 3.15-3.22
Fe1 0.8134 0.6268 0.4433  4 Si 2.21-2.32, 1 Fe 2.35
Fe2 0.1866 0.3732 0.9433  4 Si 2.21-2.32, 1 Fe 2.35
Fe3 0.0000 0.0000 0.5000  6 Fe 2.35-2.48, 4 Si 2.57
Fe4 0.0000 0.0000 0.0000  6 Fe 2.35-2.48, 4 Si 2.57
Fe5 0.4622 0.9243 0.1410  4 Si 2.29-2.36, 3 Fe 2.29-2.48
Fe6 0.5378 0.0757 0.8590  4 Si 2.29-2.36, 3 Fe 2.29-2.48
Fe7 0.5378 0.0757 0.6410  4 Si 2.29-2.36, 3 Fe 2.29-2.48
Fe8 0.8134 0.6268 0.0567  4 Si 2.21-2.32, 1 Fe 2.35
Fe9 0.1866 0.3732 0.5567  4 Si 2.21-2.32, 1 Fe 2.35
Fe10 0.4622 0.9243 0.3590  4 Si 2.29-2.36, 3 Fe 2.29-2.48
Si1 0.3680 0.7359 0.9522  5 Fe 2.21-2.32
Si2 0.9044 0.8088 0.2500  6 Fe 2.31-2.36
Si3 0.3680 0.7359 0.5478  5 Fe 2.21-2.32
Si4 0.6320 0.2641 0.4522  5 Fe 2.21-2.32
Si5 0.0956 0.1912 0.7500  6 Fe 2.31-2.36
Si6 0.6320 0.2641 0.0478  5 Fe 2.21-2.32

**Formation energy (no corrections)**: -0.42 eV per atom

=====

Entry 5:
A plane-wave DFT calculation with PBE was carried out for Co2NiOs after structural relaxation.

a b c (Å): 4.3873 4.3873 4.3976
angles (deg): 80.75 80.75 34.03
With the nearest neighbours (Å) after each atom.
Positions (direct):
Co1 0.9993 0.9993 0.0019  3 Ni 2.53-2.55, 3 Os 2.53-2.54, 6 Co 2.53-2.57
Co2 0.5007 0.5007 0.4981  3 Ni 2.53-2.55, 3 Os 2.53-2.54, 6 Co 2.53-2.57
Ni1 0.7500 0.7500 0.7500  6 Co 2.53-2.55, 4 Os 2.55, 2 Ni 2.57
Os1 0.2500 0.2500 0.2500  6 Co 2.53-2.54, 4 Ni 2.55, 2 Os 2.57

**Energy above the most stable polymorph in this dataset**: 13 meV per atom
**E_form**: 0.1248 eV per atom

=====

Entry 6:
A plane-wave DFT calculation with PBE was carried out for InPbNCl2 after structural relaxation.

a b c (Å): 6.0224 3.7338 6.0224
angles (deg): 90.00 90.00 90.00
With the nearest neighbours (Å) after each atom.
Positions (direct):
Pb1 0.5000 0.5000 0.5000  8 Cl 3.54, 2 Pb 3.73
N1 0.0000 0.0000 0.0000  2 In 1.87
Cl1 0.0000 0.0000 0.5000  2 N 3.01
Cl2 0.5000 0.0000 0.0000  2 N 3.01
In1 0.0000 0.5000 0.0000  2 N 1.87

**Formation energy (no corrections)**: 0.38 eV per atom

=====

Entry 7:
A plane-wave DFT calculation with PBE was carried out for CeNpZnOs after structural relaxation.

a b c (Å): 4.7321 4.7321 4.7321
angles (deg): 60.00 60.00 60.00
With the nearest neighbours (Å) after each atom.
Positions (direct):
Np1 0.0000 0.0000 0.0000  4 Os 2.90, 4 Ce 2.90
Zn1 0.5000 0.5000 0.5000  4 Ce 2.90, 4 Os 2.90
Os1 0.2500 0.2500 0.2500  4 Zn 2.90, 4 Np 2.90
Ce1 0.7500 0.7500 0.7500  4 Np 2.90, 4 Zn 2.90

**E_form**: -0.0229 eV per atom

=====

Entry 8:
A plane-wave DFT calculation with PBE was carried out for Sc3AgO after structural relaxation.

a b c (Å): 8.3441 8.3441 8.3441
angles (deg): 60.00 60.00 60.00
With the nearest neighbours (Å) after each atom.
Positions (direct):
Sc1 0.1883 0.8117 0.1883  2 O 2.22
Sc2 0.4383 0.0617 0.4383  2 O 2.22
Sc3 0.0617 0.4383 0.4383  2 O 2.22
Sc4 0.0617 0.4383 0.0617  2 O 2.22
Sc5 0.0617 0.0617 0.4383  2 O 2.22
Sc6 0.8117 0.8117 0.1883  2 O 2.22
Sc7 0.4383 0.4383 0.0617  2 O 2.22
Sc8 0.4383 0.0617 0.0617  2 O 2.22
Sc9 0.1883 0.1883 0.8117  2 O 2.22
Sc10 0.8117 0.1883 0.8117  2 O 2.22
Sc11 0.8117 0.1883 0.1883  2 O 2.22
Sc12 0.1883 0.8117 0.8117  2 O 2.22
O1 0.1250 0.1250 0.1250  6 Sc 2.22
O2 0.1250 0.1250 0.6250  6 Sc 2.22
O3 0.1250 0.6250 0.1250  6 Sc 2.22
O4 0.6250 0.1250 0.1250  6 Sc 2.22
Ag1 0.6250 0.6250 0.6250  6 Sc 3.03
Ag2 0.6250 0.6250 0.1250  6 Sc 3.03
Ag3 0.6250 0.1250 0.6250  6 Sc 3.03
Ag4 0.1250 0.6250 0.6250  6 Sc 3.03

**Energy above the most stable polymorph in this dataset**: 485 meV per atom
**Formation energy (no corrections)**: -0.88 eV per atom

=====

Entry 9:
A plane-wave DFT calculation with PBE was carried out for Li4HgAu15 after structural relaxation.

a b c (Å): 4.1002 4.1002 20.5639
angles (deg): 90.00 90.00 90.00
With the nearest neighbours (Å) after each atom.
Positions (direct):
Li1 0.0000 0.0000 0.2064  12 Au 2.86-2.90
Li2 0.0000 0.0000 0.4020  12 Au 2.86-2.90
Li3 0.0000 0.0000 0.5980  12 Au 2.86-2.90
Li4 0.0000 0.0000 0.7936  12 Au 2.86-2.90
Hg1 0.0000 0.0000 0.0000  12 Au 2.90-3.04
Au1 0.5000 0.5000 0.0000  4 Hg 2.90, 8 Au 3.04
Au2 0.5000 0.5000 0.2072  8 Au 2.87, 4 Li 2.90
Au3 0.5000 0.5000 0.4026  8 Au 2.87, 4 Li 2.90
Au4 0.5000 0.5000 0.5974  8 Au 2.87, 4 Li 2.90
Au5 0.5000 0.5000 0.7928  8 Au 2.87, 4 Li 2.90
Au6 0.5000 0.0000 0.1095  2 Li 2.86, 8 Au 2.87-3.04, 2 Hg 3.04
Au7 0.5000 0.0000 0.3051  4 Li 2.86-2.88, 8 Au 2.87-2.90
Au8 0.5000 0.0000 0.5000  8 Au 2.87-2.90, 4 Li 2.87
Au9 0.5000 0.0000 0.6949  4 Li 2.86-2.88, 8 Au 2.87-2.90
Au10 0.5000 0.0000 0.8905  2 Li 2.86, 8 Au 2.87-3.04, 2 Hg 3.04
Au11 0.0000 0.5000 0.1095  2 Li 2.86, 8 Au 2.87-3.04, 2 Hg 3.04
Au12 0.0000 0.5000 0.3051  4 Li 2.86-2.88, 8 Au 2.87-2.90
Au13 0.0000 0.5000 0.5000  8 Au 2.87-2.90, 4 Li 2.87
Au14 0.0000 0.5000 0.6949  4 Li 2.86-2.88, 8 Au 2.87-2.90
Au15 0.0000 0.5000 0.8905  2 Li 2.86, 8 Au 2.87-3.04, 2 Hg 3.04

**E_form**: -0.2683 eV per atom

=====

Entry 10:
A plane-wave DFT calculation with PBE was carried out for Ca2Tl2Ag after structural relaxation.

a b c (Å): 6.1074 6.1074 6.1074
angles (deg): 118.85 118.85 92.00
With the nearest neighbours (Å) after each atom.
Positions (direct):
Ca1 0.2500 0.7500 0.5000  4 Tl 3.19
Ca2 0.7500 0.2500 0.5000  4 Tl 3.19
Tl1 0.3332 0.3332 0.0000  1 Ag 2.83, 1 Tl 2.83
Tl2 0.6668 0.6668 0.0000  1 Ag 2.83, 1 Tl 2.83
Ag1 0.0000 0.0000 0.0000  2 Tl 2.83

**Energy above the most stable polymorph in this dataset**: 326 meV per atom
**E_form**: 0.0027 eV per atom

=====

Entry 11:
A plane-wave DFT calculation with PBE was carried out for POs2Br after structural relaxation.

a b c (Å): 2.8581 5.2989 4.1889
angles (deg): 90.00 90.00 90.00
With the nearest neighbours (Å) after each atom.
Positions (direct):
Br1 0.0000 0.5000 0.5000  4 Os 2.54
Os1 0.0000 0.0000 0.0000  4 P 2.54
Os2 0.5000 0.5000 0.0000  4 Br 2.54
P1 0.5000 0.0000 0.5000  4 Os 2.54

**Energy above the most stable polymorph in this dataset**: 829 meV per atom
**Formation energy (no corrections)**: 1.22 eV per atom

=====

Entry 12:
A plane-wave DFT calculation with PBE was carried out for SrMg2GaH after structural relaxation.

a b c (Å): 5.6042 4.0089 5.6042
angles (deg): 90.00 90.00 90.00
With the nearest neighbours (Å) after each atom.
Positions (direct):
Sr1 0.5000 0.5000 0.5000  8 Mg 3.45
Mg1 0.0000 0.0000 0.5000  2 Ga 2.80
Mg2 0.5000 0.0000 0.0000  2 Ga 2.80
Ga1 0.0000 0.0000 0.0000  2 H 2.00
H1 0.0000 0.5000 0.0000  2 Ga 2.00

**Energy above the most stable polymorph in this dataset**: 539 meV per atom

=====

Entry 13:
A plane-wave DFT calculation with PBE was carried out for U2Co5Si3 after structural relaxation.

a b c (Å): 3.8262 6.1472 12.0583
angles (deg): 90.00 99.13 90.00
With the nearest neighbours (Å) after each atom.
Positions (direct):
U1 0.4918 0.7534 0.9835  3 Co 2.73-2.84, 5 Si 2.84-2.93
U2 0.1772 0.7476 0.3544  8 Co 2.65-2.91
U3 0.8228 0.2476 0.6456  8 Co 2.65-2.91
U4 0.5082 0.2534 0.0165  3 Co 2.73-2.84, 5 Si 2.84-2.93
Co1 0.3928 0.3689 0.7856  3 Si 2.30-2.43
Co2 0.2881 0.5153 0.5762  3 Si 2.31-2.33, 1 Co 2.57
Co3 0.7119 0.0153 0.4238  3 Si 2.31-2.33, 1 Co 2.57
Co4 0.1305 0.2580 0.2611  4 Si 2.29-2.36
Co5 0.2899 0.9329 0.5798  4 Si 2.32-2.35, 1 Co 2.57
Co6 0.9365 0.1028 0.8730  3 Si 2.36-2.39
Co7 0.7101 0.4329 0.4202  4 Si 2.32-2.35, 1 Co 2.57
Co8 0.8695 0.7580 0.7389  4 Si 2.29-2.36
Co9 0.0635 0.6028 0.1270  3 Si 2.36-2.39
Co10 0.6072 0.8689 0.2144  3 Si 2.30-2.43
Si1 0.7736 0.7250 0.5473  7 Co 2.29-2.35
Si2 0.6134 0.4741 0.2268  6 Co 2.32-2.43
Si3 0.0632 0.9868 0.1263  4 Co 2.30-2.36
Si4 0.2264 0.2250 0.4527  7 Co 2.29-2.35
Si5 0.9368 0.4868 0.8737  4 Co 2.30-2.36
Si6 0.3866 0.9741 0.7732  6 Co 2.32-2.43

**Formation energy (no corrections)**: -0.40 eV per atom